First-principles (GGA-PBE) data for a geometry-optimized SbMo2Br structure, as listed in Alexandria via LeMat-Bulk.

- Energy: -6.18 eV/atom
- M_tot: 0.000 μB/atom
- E_form (uncorrected): 0.682 eV per atom
- Crystal system: cubic

abc: 6.5908 6.5908 6.5908
angles: 90.00 90.00 90.00
Space group Fm-3m (No. 225)
Unique sites:
Sb 0.0000 0.0000 0.0000 [4 per cell]
Mo 0.2500 0.2500 0.2500 [8 per cell]
Br 0.0000 0.0000 0.5000 [4 per cell]

First-principles (GGA-PBE) data for a geometry-optimized TiFeRh3 structure, as listed in Alexandria via LeMat-Bulk.

- Energy: -7.62 eV/atom
- M_tot: 0.703 μB/atom
- Crystal system: orthorhombic
- Energy of formation: 60 meV/atom

abc: 6.3689 11.0167 4.3982
angles: 90.00 90.00 90.00
Space group Cmcm (No. 63)
Unique sites:
Ti 0.0000 0.1664 0.2500 [4 per cell]
Fe 0.0000 0.5000 0.0000 [4 per cell]
Rh 0.0000 0.3045 0.7500 [4 per cell]
Rh 0.2068 0.0975 0.7500 [8 per cell]

First-principles (GGA-PBE) data for a geometry-optimized Mg2TcCl structure, as listed in Alexandria via LeMat-Bulk.

- Energy: -4.05 eV/atom
- M_tot: 0.000 μB/atom
- E_form (uncorrected): -0.204 eV per atom
- Crystal system: orthorhombic

abc: 3.5660 4.8917 8.1511
angles: 90.00 90.00 90.00
Space group Cmmm (No. 65)
Unique sites:
Mg 0.0000 0.0000 0.2426 [4 per cell]
Tc 0.0000 0.5000 0.0000 [2 per cell]
Cl 0.0000 0.5000 0.5000 [2 per cell]

- Which value of M_tot does entry 3 give?
  0.000 μB/atom